(1)
The following is a DFT calculation (PBE) of an optimized crystal structure of KInGeTe3.

- Crystal system: monoclinic
- Final energy: -0.125 hartree per atom
- DOS at the Fermi energy: 0.21 states/eV/f.u.
- Volume: 38.0 Å³ per atom
- SG: P2_1/m
- Formation energy from raw total energies: -427 meV/atom

Cell: 9.3848 4.5345 11.4482 Å, 90.00 110.52 90.00°
With the nearest neighbours (Å) after each atom.
Fractional positions:
K (0.2283, 0.2500, 0.2148)  5 Te 3.52-3.63
K (0.7717, 0.7500, 0.7852)  5 Te 3.52-3.63
In (0.0944, 0.2500, 0.6405)  4 Te 2.73-2.97
In (0.9056, 0.7500, 0.3595)  4 Te 2.73-2.97
Ge (0.3375, 0.7500, 0.8929)  3 Te 2.74-3.00
Ge (0.6625, 0.2500, 0.1071)  3 Te 2.74-3.00
Te (0.0858, 0.2500, 0.8762)  1 In 2.73
Te (0.2171, 0.7500, 0.5498)  3 In 2.90-2.97
Te (0.4762, 0.7500, 0.1476)  3 Ge 2.74-3.00
Te (0.5238, 0.2500, 0.8524)  3 Ge 2.74-3.00
Te (0.7829, 0.2500, 0.4502)  3 In 2.90-2.97
Te (0.9142, 0.7500, 0.1238)  1 In 2.73

---

(2)
The following is a DFT calculation (PBE) of an optimized crystal structure of KTlInGe.

- Crystal system: cubic
- Final energy: -0.097 hartree per atom
- DOS at the Fermi energy: 1.93 states/eV/f.u.
- Volume: 28.4 Å³ per atom
- SG: F-43m

Cell: 5.4373 5.4373 5.4373 Å, 60.00 60.00 60.00°
With the nearest neighbours (Å) after each atom.
Fractional positions:
K (0.0000, 0.0000, 0.0000)  4 Ge 3.33, 4 Tl 3.33
Tl (0.7500, 0.7500, 0.7500)  4 In 3.33, 4 K 3.33
In (0.5000, 0.5000, 0.5000)  4 Tl 3.33, 4 Ge 3.33
Ge (0.2500, 0.2500, 0.2500)  4 In 3.33, 4 K 3.33

---

(3)
The following is a DFT calculation (PBE) of an optimized crystal structure of K2ZnIn4Ge3.

- Crystal system: tetragonal
- Final energy: -0.107 hartree per atom
- DOS at the Fermi energy: 3.89 states/eV/f.u.
- Volume: 27.2 Å³ per atom
- SG: P-4m2

Cell: 4.8548 4.8548 11.5255 Å, 90.00 90.00 90.00°
With the nearest neighbours (Å) after each atom.
Fractional positions:
K (0.0000, 0.5000, 0.2447)  8 In 3.69-3.81, 6 Ge 3.71-3.72, 2 Zn 3.72
K (0.5000, 0.0000, 0.7553)  8 In 3.69-3.81, 6 Ge 3.71-3.72, 2 Zn 3.72
Zn (0.5000, 0.5000, 0.0000)  4 In 2.83
In (0.0000, 0.0000, 0.5000)  4 Ge 2.88
In (0.0000, 0.5000, 0.8738)  3 Ge 2.76-2.83, 2 Zn 2.83
In (0.5000, 0.0000, 0.1262)  3 Ge 2.76-2.83, 2 Zn 2.83
In (0.5000, 0.5000, 0.5000)  4 Ge 2.88
Ge (0.0000, 0.0000, 0.0000)  4 In 2.83
Ge (0.0000, 0.5000, 0.6339)  5 In 2.76-2.88
Ge (0.5000, 0.0000, 0.3661)  5 In 2.76-2.88

---

(4)
The following is a DFT calculation (PBE) of an optimized crystal structure of KZnInGe2.

- Crystal system: tetragonal
- Final energy: -0.108 hartree per atom
- DOS at the Fermi energy: 1.36 states/eV/f.u.
- Volume: 24.4 Å³ per atom
- SG: I-4m2

Cell: 6.4021 6.4021 6.4021 Å, 136.66 136.66 62.96°
With the nearest neighbours (Å) after each atom.
Fractional positions:
K (0.0000, 0.0000, 0.0000)  8 Ge 3.58, 4 Zn 3.61, 4 In 3.61
Zn (0.7500, 0.2500, 0.5000)  4 Ge 2.77
In (0.2500, 0.7500, 0.5000)  4 Ge 2.77
Ge (0.3828, 0.3828, 0.0000)  1 Ge 2.56, 2 Zn 2.77, 2 In 2.77
Ge (0.6172, 0.6172, 0.0000)  1 Ge 2.56, 2 Zn 2.77, 2 In 2.77